VASP calculation (GGA-PBEsol) on a geometry-optimized CsHfZn2Se structure.

## Properties
- E_form (uncorrected): 1.895 eV/atom
- Space-group type: P4/mmm (123)
- DOS at the Fermi energy: 4.11 states/eV/cell
- Calculated density: 4.599 Mg/m³

Unit cell a=5.559 b=5.559 c=6.090 alpha=90.00 beta=90.00 gamma=90.00
Atoms (fractional coordinates):
Cs 0.000 0.000 0.000
Hf 0.000 0.000 0.500
Zn 0.000 0.500 0.000
Zn 0.500 0.000 0.000
Se 0.500 0.500 0.500